1.
Material: Pt2SeCl
Method: DFT, PBEsol
State: relaxed

Cell lengths 6.5286, 6.5286, 6.9806 Å; angles 90.00, 90.00, 90.00 degrees
Sites, in units of the cell vectors:
Pt: 0.2356 0.7500 0.1250
Pt: 0.2500 0.2356 0.8750
Pt: 0.2500 0.2644 0.3750
Pt: 0.2644 0.7500 0.6250
Pt: 0.7356 0.2500 0.6250
Pt: 0.7500 0.7356 0.3750
Pt: 0.7500 0.7644 0.8750
Pt: 0.7644 0.2500 0.1250
Se: 0.0000 0.0000 0.0000
Se: 0.0000 0.5000 0.2500
Se: 0.5000 0.0000 0.7500
Se: 0.5000 0.5000 0.5000
Cl: 0.0000 0.0000 0.5000
Cl: 0.0000 0.5000 0.7500
Cl: 0.5000 0.0000 0.2500
Cl: 0.5000 0.5000 0.0000

Computed properties:
- magnetic moment (μB/cell) = 0.00
- uncorrected formation energy (eV/atom) = 0.256
- energy above the lowest structure with this stoichiometry (eV/atom) = 0.4954
- space group = I-42d, No. 122


2.
Material: ZrCdHgW2
Method: DFT, PBEsol
State: relaxed

Cell lengths 4.8395, 4.8395, 4.9930 Å; angles 90.00, 90.00, 90.00 degrees
Sites, in units of the cell vectors:
Zr: 0.0000 0.0000 0.0000
Cd: 0.0000 0.0000 0.5000
Hg: 0.5000 0.5000 0.0000
W: 0.0000 0.5000 0.5000
W: 0.5000 0.0000 0.5000

Computed properties:
- magnetic moment (μB/cell) = 0.00
- space group = P4/mmm, No. 123


3.
Material: RhCl2F
Method: DFT, PBEsol
State: relaxed

Cell lengths 8.4525, 8.4525, 4.0546 Å; angles 90.00, 90.00, 90.00 degrees
Sites, in units of the cell vectors:
Rh: 0.0000 0.0000 0.0000
Rh: 0.0000 0.5000 0.2500
Rh: 0.5000 0.0000 0.7500
Rh: 0.5000 0.5000 0.5000
Cl: 0.1041 0.7500 0.1250
Cl: 0.2500 0.1041 0.8750
Cl: 0.2500 0.3959 0.3750
Cl: 0.3959 0.7500 0.6250
Cl: 0.6041 0.2500 0.6250
Cl: 0.7500 0.6041 0.3750
Cl: 0.7500 0.8959 0.8750
Cl: 0.8959 0.2500 0.1250
F: 0.0000 0.0000 0.5000
F: 0.0000 0.5000 0.7500
F: 0.5000 0.0000 0.2500
F: 0.5000 0.5000 0.0000

Computed properties:
- magnetic moment (μB/cell) = 1.68
- uncorrected formation energy (eV/atom) = -0.592
- space group = I-42d, No. 122


4.
Material: K2CoRh
Method: DFT, PBEsol
State: relaxed

Cell lengths 3.3350, 3.3350, 9.8192 Å; angles 90.00, 90.00, 90.00 degrees
Sites, in units of the cell vectors:
K: 0.0000 0.0000 0.0000
K: 0.5000 0.5000 0.4356
Co: 0.5000 0.5000 0.7430
Rh: 0.0000 0.0000 0.6916

Computed properties:
- magnetic moment (μB/cell) = 2.37
- energy above the lowest structure with this stoichiometry (eV/atom) = 0.0000
- space group = P4mm, No. 99


5.
Material: Hg2MoSN
Method: DFT, PBEsol
State: relaxed

Cell lengths 4.7940, 4.7940, 3.8978 Å; angles 90.00, 90.00, 90.00 degrees
Sites, in units of the cell vectors:
Hg: 0.0000 0.5000 0.0000
Hg: 0.5000 0.0000 0.0000
Mo: 0.0000 0.0000 0.5000
S: 0.5000 0.5000 0.5000
N: 0.0000 0.0000 0.0000

Computed properties:
- magnetic moment (μB/cell) = 1.17
- uncorrected formation energy (eV/atom) = 0.719
- space group = P4/mmm, No. 123


6.
Material: BaNaIN2
Method: DFT, PBEsol
State: relaxed

Cell lengths 4.8172, 4.8172, 5.3999 Å; angles 90.00, 90.00, 90.00 degrees
Sites, in units of the cell vectors:
Ba: 0.0000 0.0000 0.0000
Na: 0.5000 0.5000 0.5000
I: 0.5000 0.5000 0.0000
N: 0.0000 0.5000 0.5000
N: 0.5000 0.0000 0.5000

Computed properties:
- magnetic moment (μB/cell) = 4.00
- uncorrected formation energy (eV/atom) = 0.775
- space group = P4/mmm, No. 123


7.
Material: CaZr2BiCl
Method: DFT, PBEsol
State: relaxed

Cell lengths 5.3517, 5.3517, 4.7059 Å; angles 90.00, 90.00, 90.00 degrees
Sites, in units of the cell vectors:
Ca: 0.0000 0.0000 0.0000
Zr: 0.0000 0.5000 0.0000
Zr: 0.5000 0.0000 0.0000
Bi: 0.5000 0.5000 0.5000
Cl: 0.0000 0.0000 0.5000

Computed properties:
- magnetic moment (μB/cell) = 0.00
- uncorrected formation energy (eV/atom) = 0.792
- space group = P4/mmm, No. 123


8.
Material: AlGaAs2Se
Method: DFT, PBEsol
State: relaxed

Cell lengths 4.8378, 4.8378, 4.9370 Å; angles 90.00, 90.00, 90.00 degrees
Sites, in units of the cell vectors:
Al: 0.0000 0.0000 0.0000
Ga: 0.5000 0.5000 0.5000
As: 0.0000 0.5000 0.5000
As: 0.5000 0.0000 0.5000
Se: 0.5000 0.5000 0.0000

Computed properties:
- magnetic moment (μB/cell) = 0.00
- uncorrected formation energy (eV/atom) = 0.609
- space group = P4/mmm, No. 123


9.
Material: Be2NiSb
Method: DFT, PBEsol
State: relaxed

Cell lengths 3.6890, 3.6890, 7.3283 Å; angles 90.00, 90.00, 90.00 degrees
Sites, in units of the cell vectors:
Be: 0.0000 0.5000 0.2500
Be: 0.0000 0.5000 0.7500
Be: 0.5000 0.0000 0.2500
Be: 0.5000 0.0000 0.7500
Ni: 0.0000 0.0000 0.0000
Ni: 0.5000 0.5000 0.5000
Sb: 0.0000 0.0000 0.5000
Sb: 0.5000 0.5000 0.0000

Computed properties:
- magnetic moment (μB/cell) = 0.00
- uncorrected formation energy (eV/atom) = 0.195
- space group = I4/mmm, No. 139


10.
Material: TlIn2Cu
Method: DFT, PBEsol
State: relaxed

Cell lengths 3.1798, 4.3983, 12.9917 Å; angles 90.00, 90.00, 90.00 degrees
Sites, in units of the cell vectors:
Tl: 0.0000 0.0000 0.0000
Tl: 0.5000 0.5000 0.5000
In: 0.0000 0.0000 0.3677
In: 0.0000 0.5000 0.1873
In: 0.5000 0.0000 0.6873
In: 0.5000 0.5000 0.8677
Cu: 0.0000 0.5000 0.6918
Cu: 0.5000 0.0000 0.1918

Computed properties:
- magnetic moment (μB/cell) = 0.00
- space group = Imm2, No. 44


11.
Material: MnBe2Al
Method: DFT, PBEsol
State: relaxed

Cell lengths 3.6440, 2.4711, 9.0090 Å; angles 90.00, 90.00, 90.00 degrees
Sites, in units of the cell vectors:
Mn: 0.0000 0.0000 0.0000
Mn: 0.0000 0.5000 0.5000
Be: 0.0000 0.0000 0.7259
Be: 0.0000 0.5000 0.2259
Be: 0.5000 0.0000 0.6029
Be: 0.5000 0.5000 0.1029
Al: 0.5000 0.0000 0.3503
Al: 0.5000 0.5000 0.8503

Computed properties:
- magnetic moment (μB/cell) = 0.01
- space group = Amm2, No. 38


12.
Material: TaTeCl9
Method: DFT, PBEsol
State: relaxed

Cell lengths 6.4654, 9.4266, 11.3502 Å; angles 106.42, 104.56, 92.32 degrees
Sites, in units of the cell vectors:
Ta: 0.1218 0.2615 0.2073
Ta: 0.8782 0.7385 0.7927
Te: 0.3085 0.3411 0.6645
Te: 0.6915 0.6589 0.3355
Cl: 0.0171 0.9549 0.7746
Cl: 0.0314 0.7945 0.4340
Cl: 0.1097 0.6086 0.6683
Cl: 0.1290 0.7518 0.9780
Cl: 0.2573 0.5085 0.2114
Cl: 0.2827 0.3730 0.8713
Cl: 0.3732 0.1573 0.1119
Cl: 0.3875 0.3095 0.4129
Cl: 0.4823 0.1265 0.6572
Cl: 0.5177 0.8735 0.3428
Cl: 0.6125 0.6905 0.5871
Cl: 0.6268 0.8427 0.8881
Cl: 0.7173 0.6270 0.1287
Cl: 0.7427 0.4915 0.7886
Cl: 0.8710 0.2482 0.0220
Cl: 0.8903 0.3914 0.3317
Cl: 0.9686 0.2055 0.5660
Cl: 0.9829 0.0451 0.2254

Computed properties:
- magnetic moment (μB/cell) = 0.00
- uncorrected formation energy (eV/atom) = -0.984
- space group = P-1, No. 2


| no. | electronic total energy (eV per atom) |
| --- | --- |
| 1 | -4.6907 |
| 2 | -5.4007 |
| 3 | -4.1125 |
| 4 | -3.9615 |
| 5 | -4.4435 |
| 6 | -3.6988 |
| 7 | -4.5288 |
| 8 | -3.6895 |
| 9 | -4.4841 |
| 10 | -3.1262 |
| 11 | -5.4530 |
| 12 | -4.0884 |